Record 1
Nd2TlPb5 | PBE | optimized geometry

Density (g/cm³): 10.71
Space group: Pbam (55)
Calculated formation energy (eV/atom): -0.375
Raw total energy (eV per atom): -4.18
Spin magnetization (μB per atom): 0.00
Crystal system: orthorhombic

abc: 6.900 13.817 4.973
angles: 90.00 90.00 90.00
Atoms (fractional coordinates):
Nd1 0.246 0.127 0.000
Nd2 0.254 0.627 0.000
Nd3 0.746 0.373 0.000
Nd4 0.754 0.873 0.000
Tl1 0.000 0.500 0.500
Tl2 0.500 0.000 0.500
Pb1 0.000 0.000 0.500
Pb2 0.002 0.749 0.500
Pb3 0.246 0.376 0.000
Pb4 0.254 0.876 0.000
Pb5 0.498 0.249 0.500
Pb6 0.500 0.500 0.500
Pb7 0.502 0.751 0.500
Pb8 0.746 0.124 0.000
Pb9 0.754 0.624 0.000
Pb10 0.998 0.251 0.500


Record 2
Nd2Tl2Pb | PBE | optimized geometry

Density (g/cm³): 9.57
Space group: P6_3/mmc (194)
Calculated formation energy (eV/atom): -0.230
Raw total energy (eV per atom): -3.83
Spin magnetization (μB per atom): 0.00
Crystal system: hexagonal

abc: 5.328 5.328 12.773
angles: 90.00 90.00 120.00
Atoms (fractional coordinates):
Nd1 0.333 0.667 0.100
Nd2 0.333 0.667 0.400
Nd3 0.667 0.333 0.600
Nd4 0.667 0.333 0.900
Tl1 0.000 0.000 0.000
Tl2 0.000 0.000 0.500
Tl3 0.333 0.667 0.750
Tl4 0.667 0.333 0.250
Pb1 0.000 0.000 0.250
Pb2 0.000 0.000 0.750


Record 3
Nd2TlPb8 | PBE | optimized geometry

Density (g/cm³): 10.08
Space group: P4/mmm (123)
Calculated formation energy (eV/atom): -0.236
Raw total energy (eV per atom): -4.02
Spin magnetization (μB per atom): 0.00
Crystal system: tetragonal

abc: 4.785 4.785 15.476
angles: 90.00 90.00 90.00
Atoms (fractional coordinates):
Nd1 0.000 0.000 0.156
Nd2 0.000 0.000 0.844
Tl1 0.000 0.000 0.500
Pb1 0.000 0.500 0.000
Pb2 0.000 0.500 0.335
Pb3 0.000 0.500 0.665
Pb4 0.500 0.000 0.000
Pb5 0.500 0.000 0.335
Pb6 0.500 0.000 0.665
Pb7 0.500 0.500 0.177
Pb8 0.500 0.500 0.823


Record 4
Nd2TlPb3 | PBE | optimized geometry

Density (g/cm³): 9.46
Space group: Immm (71)
Calculated formation energy (eV/atom): -0.167
Raw total energy (eV per atom): -4.00
Spin magnetization (μB per atom): 0.00
Crystal system: orthorhombic

abc: 3.507 5.926 18.831
angles: 90.00 90.00 90.00
Atoms (fractional coordinates):
Nd1 0.000 0.000 0.154
Nd2 0.000 0.000 0.846
Nd3 0.500 0.500 0.346
Nd4 0.500 0.500 0.654
Tl1 0.000 0.000 0.500
Tl2 0.500 0.500 0.000
Pb1 0.000 0.000 0.329
Pb2 0.000 0.000 0.671
Pb3 0.000 0.500 0.500
Pb4 0.500 0.000 0.000
Pb5 0.500 0.500 0.171
Pb6 0.500 0.500 0.829


> The lowest calculated formation energy belongs to which entry?

Nd2TlPb5


What did the third record say?
Nd2TlPb8 | PBE | optimized geometry

Density (g/cm³): 10.08
Space group: P4/mmm (123)
Calculated formation energy (eV/atom): -0.236
Raw total energy (eV per atom): -4.02
Spin magnetization (μB per atom): 0.00
Crystal system: tetragonal

abc: 4.785 4.785 15.476
angles: 90.00 90.00 90.00
Atoms (fractional coordinates):
Nd1 0.000 0.000 0.156
Nd2 0.000 0.000 0.844
Tl1 0.000 0.000 0.500
Pb1 0.000 0.500 0.000
Pb2 0.000 0.500 0.335
Pb3 0.000 0.500 0.665
Pb4 0.500 0.000 0.000
Pb5 0.500 0.000 0.335
Pb6 0.500 0.000 0.665
Pb7 0.500 0.500 0.177
Pb8 0.500 0.500 0.823


What did the first record say?
Nd2TlPb5 | PBE | optimized geometry

Density (g/cm³): 10.71
Space group: Pbam (55)
Calculated formation energy (eV/atom): -0.375
Raw total energy (eV per atom): -4.18
Spin magnetization (μB per atom): 0.00
Crystal system: orthorhombic

abc: 6.900 13.817 4.973
angles: 90.00 90.00 90.00
Atoms (fractional coordinates):
Nd1 0.246 0.127 0.000
Nd2 0.254 0.627 0.000
Nd3 0.746 0.373 0.000
Nd4 0.754 0.873 0.000
Tl1 0.000 0.500 0.500
Tl2 0.500 0.000 0.500
Pb1 0.000 0.000 0.500
Pb2 0.002 0.749 0.500
Pb3 0.246 0.376 0.000
Pb4 0.254 0.876 0.000
Pb5 0.498 0.249 0.500
Pb6 0.500 0.500 0.500
Pb7 0.502 0.751 0.500
Pb8 0.746 0.124 0.000
Pb9 0.754 0.624 0.000
Pb10 0.998 0.251 0.500